PmHfGa2 | PBE-GGA | optimized geometry

Cell: 3.5598 3.5598 8.6412 Å, 78.11 78.11 60.00°
Fractional positions:
Hf (0.5000, 0.5000, 0.5000)
Ga (0.7564, 0.7564, 0.7309)
Ga (0.2436, 0.2436, 0.2691)
Pm (0.0000, 0.0000, 0.0000)

Energy above the lowest structure with this stoichiometry in meV/atom: 166
DFT formation energy in eV per formula unit: -1.0